Entry 1:
Here is an optimized crystal structure of HfZnGaCo from OQMD. Energies are from PBE.

energy: -5.496 eV per atom

Structure (CIF):
```
data_HfZnGaCo
_space_group_name_H-M_alt 'F -4 3 m'
_space_group_IT_number 216
_space_group_name_Hall 'F -4 2 3'
_cell_length_a 6.1903
_cell_length_b 6.1903
_cell_length_c 6.1903
_cell_angle_alpha 90.00
_cell_angle_beta 90.00
_cell_angle_gamma 90.00
loop_
_atom_site_label
_atom_site_type_symbol
_atom_site_fract_x
_atom_site_fract_y
_atom_site_fract_z
_atom_site_occupancy
Hf1 Hf 0.0000 0.0000 0.0000 1
Zn1 Zn 0.2500 0.2500 0.7500 1
Ga1 Ga 0.2500 0.2500 0.2500 1
Co1 Co 0.0000 0.0000 0.5000 1
```

Entry 2:
Here is an optimized crystal structure of HfZnGaCo from OQMD. Energies are from PBE.

energy: -5.607 eV per atom

Structure (CIF):
```
data_HfZnGaCo
_space_group_name_H-M_alt 'F -4 3 m'
_space_group_IT_number 216
_space_group_name_Hall 'F -4 2 3'
_cell_length_a 6.1717
_cell_length_b 6.1717
_cell_length_c 6.1717
_cell_angle_alpha 90.00
_cell_angle_beta 90.00
_cell_angle_gamma 90.00
loop_
_atom_site_label
_atom_site_type_symbol
_atom_site_fract_x
_atom_site_fract_y
_atom_site_fract_z
_atom_site_occupancy
Hf1 Hf 0.0000 0.0000 0.0000 1
Zn1 Zn 0.2500 0.2500 0.2500 1
Ga1 Ga 0.0000 0.0000 0.5000 1
Co1 Co 0.2500 0.2500 0.7500 1
```

Entry 3:
Here is an optimized crystal structure of GaCoHg from OQMD. Energies are from PBE.

energy: -3.230 eV per atom

Structure (CIF):
```
data_GaCoHg
_space_group_name_H-M_alt 'F -4 3 m'
_space_group_IT_number 216
_space_group_name_Hall 'F -4 2 3'
_cell_length_a 5.9665
_cell_length_b 5.9665
_cell_length_c 5.9665
_cell_angle_alpha 90.00
_cell_angle_beta 90.00
_cell_angle_gamma 90.00
loop_
_atom_site_label
_atom_site_type_symbol
_atom_site_fract_x
_atom_site_fract_y
_atom_site_fract_z
_atom_site_occupancy
Ga1 Ga 0.0000 0.0000 0.0000 1
Co1 Co 0.2500 0.2500 0.2500 1
Hg1 Hg 0.0000 0.0000 0.5000 1
```

Entry 4:
Here is an optimized crystal structure of GaCo2Hg from OQMD. Energies are from PBE.

energy: -3.917 eV per atom

Structure (CIF):
```
data_GaCo2Hg
_space_group_name_H-M_alt 'F -4 3 m'
_space_group_IT_number 216
_space_group_name_Hall 'F -4 2 3'
_cell_length_a 6.1375
_cell_length_b 6.1375
_cell_length_c 6.1375
_cell_angle_alpha 90.00
_cell_angle_beta 90.00
_cell_angle_gamma 90.00
loop_
_atom_site_label
_atom_site_type_symbol
_atom_site_fract_x
_atom_site_fract_y
_atom_site_fract_z
_atom_site_occupancy
Ga1 Ga 0.0000 0.0000 0.0000 1
Co1 Co 0.0000 0.0000 0.5000 1
Co2 Co 0.2500 0.2500 0.7500 1
Hg1 Hg 0.2500 0.2500 0.2500 1
```

Entry 5:
Here is an optimized crystal structure of GaCoHgIr from OQMD. Energies are from PBE.

energy: -4.598 eV per atom

Structure (CIF):
```
data_GaCoHgIr
_space_group_name_H-M_alt 'F -4 3 m'
_space_group_IT_number 216
_space_group_name_Hall 'F -4 2 3'
_cell_length_a 6.2282
_cell_length_b 6.2282
_cell_length_c 6.2282
_cell_angle_alpha 90.00
_cell_angle_beta 90.00
_cell_angle_gamma 90.00
loop_
_atom_site_label
_atom_site_type_symbol
_atom_site_fract_x
_atom_site_fract_y
_atom_site_fract_z
_atom_site_occupancy
Ga1 Ga 0.0000 0.0000 0.0000 1
Co1 Co 0.2500 0.2500 0.2500 1
Hg1 Hg 0.0000 0.0000 0.5000 1
Ir1 Ir 0.2500 0.2500 0.7500 1
```

Entry 6:
Here is an optimized crystal structure of MgGaCoHg from OQMD. Energies are from PBE.

energy: -2.891 eV per atom

Structure (CIF):
```
data_MgGaCoHg
_space_group_name_H-M_alt 'F -4 3 m'
_space_group_IT_number 216
_space_group_name_Hall 'F -4 2 3'
_cell_length_a 6.3844
_cell_length_b 6.3844
_cell_length_c 6.3844
_cell_angle_alpha 90.00
_cell_angle_beta 90.00
_cell_angle_gamma 90.00
loop_
_atom_site_label
_atom_site_type_symbol
_atom_site_fract_x
_atom_site_fract_y
_atom_site_fract_z
_atom_site_occupancy
Mg1 Mg 0.0000 0.0000 0.0000 1
Ga1 Ga 0.2500 0.2500 0.2500 1
Co1 Co 0.0000 0.0000 0.5000 1
Hg1 Hg 0.2500 0.2500 0.7500 1
```